First-principles (SCAN) data for HfSbC2 at its PBEsol-relaxed geometry, as listed in Alexandria.

Computed properties:
Total energy in eV per cell: -235.63
Formation energy without anion corrections in meV/atom: 579

Unit cell a=6.1113 b=6.1113 c=6.1113 alpha=130.54 beta=130.54 gamma=72.54
Closest atoms and distances in Å follow each position.
Positions (direct):
Hf  0.0000  0.0000  0.0000  4 C 2.18
Hf  0.7500  0.2500  0.5000  4 C 2.18
Sb  0.2500  0.7500  0.5000  4 C 2.20
Sb  0.5000  0.5000  0.0000  4 C 2.20
C  0.1217  0.6250  0.9967  2 Hf 2.18, 2 Sb 2.20
C  0.3750  0.3717  0.4967  2 Hf 2.18, 2 Sb 2.20
C  0.6283  0.1250  0.0033  2 Hf 2.18, 2 Sb 2.20
C  0.8750  0.8783  0.5033  2 Hf 2.18, 2 Sb 2.20